Material: KSrW
Method: DFT, PBE
State: optimized geometry

Lattice parameters (Å, degrees): 9.669 9.669 9.669 161.53 161.53 26.23
Fractional coordinates of all 3 atoms:
1 K 0.021 0.021 0.000
2 Sr 0.303 0.303 0.000
3 W 0.676 0.676 0.000

Spin magnetization   0.00 μB per cell
Symmetry   No. 107
Energy relative to the lowest polymorph listed for this composition   0.0 meV per atom
DOS(E_F)   3.4 states/eV/f.u.